w:
Computed, not measured: a geometry-optimized K2CdHg7 structure at the GGA-PBE level of DFT.

Unit cell a=8.1001 b=8.1001 c=8.1001 alpha=60.00 beta=60.00 gamma=60.00
Closest atoms and distances in Å follow each position.
Fractional positions:
K (0.2500, 0.2500, 0.2500)  12 Hg 4.05
K (0.7500, 0.7500, 0.7500)  12 Hg 4.05
Cd (0.0000, 0.0000, 0.0000)  6 Hg 2.85
Hg (0.2486, 0.7514, 0.7514)  1 Cd 2.85, 1 Hg 2.88
Hg (0.2486, 0.2486, 0.7514)  1 Cd 2.85, 1 Hg 2.88
Hg (0.7514, 0.7514, 0.2486)  1 Cd 2.85, 1 Hg 2.88
Hg (0.7514, 0.2486, 0.2486)  1 Cd 2.85, 1 Hg 2.88
Hg (0.2486, 0.7514, 0.2486)  1 Cd 2.85, 1 Hg 2.88
Hg (0.7514, 0.2486, 0.7514)  1 Cd 2.85, 1 Hg 2.88
Hg (0.5000, 0.5000, 0.5000)  6 Hg 2.88

The calculation puts the volume at 37.58 A^3/atom. For the total moment, the calculation gives 0.000 μB/cell.

x:
Computed, not measured: a geometry-optimized K2CdHg7 structure at the GGA-PBE level of DFT.

Unit cell a=5.1580 b=5.1580 c=11.9915 alpha=90.00 beta=90.00 gamma=90.00
Closest atoms and distances in Å follow each position.
Fractional positions:
K (0.5000, 0.0000, 0.7487)  14 Hg 3.90-3.97, 2 Cd 3.97
K (0.0000, 0.5000, 0.2513)  14 Hg 3.90-3.97, 2 Cd 3.97
Hg (0.0000, 0.0000, 0.0000)  4 Hg 2.98
Hg (0.5000, 0.0000, 0.1246)  3 Hg 2.91-2.98, 2 Cd 2.98
Hg (0.0000, 0.5000, 0.8754)  3 Hg 2.91-2.98, 2 Cd 2.98
Hg (0.0000, 0.5000, 0.6330)  5 Hg 2.91-3.03
Hg (0.5000, 0.5000, 0.5000)  4 Hg 3.03
Hg (0.0000, 0.0000, 0.5000)  4 Hg 3.03
Hg (0.5000, 0.0000, 0.3670)  5 Hg 2.91-3.03
Cd (0.5000, 0.5000, 0.0000)  4 Hg 2.98

The calculation puts the volume at 31.90 A^3/atom. For the total moment, the calculation gives 0.000 μB/cell.

x is the most stable structure; the next one sits 96 meV per atom above it.